# HfMg3Zr | Alexandria | PBE | optimized geometry
# Calculated formation energy in eV per atom: 0.08
# Total magnetization in μB per atom: 0.0000
# Excess energy over the best structure of this formula in the dataset in eV/atom: 0.0000
# Uncorrected energy in eV for the cell shown: -45.80
data_HfMg3Zr
_cell_length_a 3.0841
_cell_length_b 3.0841
_cell_length_c 27.0216
_cell_angle_alpha 90.00
_cell_angle_beta 90.00
_cell_angle_gamma 120.00
_symmetry_space_group_name_H-M 'P 63 m c'
_symmetry_Int_Tables_number 186
_symmetry_space_group_name_Hall 'P 6c -2c'
loop_
_atom_site_label
_atom_site_fract_x
_atom_site_fract_y
_atom_site_fract_z
_atom_site_occupancy
Hf1 0.3333 0.6667 0.0000 1
Mg1 0.0000 0.0000 0.0992 1
Mg2 0.3333 0.6667 0.3997 1
Mg3 0.3333 0.6667 0.6980 1
Zr1 0.0000 0.0000 0.2979 1